Cu3Tc after structural relaxation. Source: Alexandria via LeMat-Bulk, functional PBE-GGA.

CIF file:
```
data_Cu3Tc
_chemical_formula_sum 'Cu3 Tc1'
_symmetry_space_group_name_H-M 'P m -3 m'
_symmetry_Int_Tables_number 221
_symmetry_space_group_name_Hall '-P 4 2 3'
_cell_length_a 4.707
_cell_length_b 4.707
_cell_length_c 4.707
_cell_angle_alpha 90.00
_cell_angle_beta 90.00
_cell_angle_gamma 90.00
loop_
_atom_site_label
_atom_site_fract_x
_atom_site_fract_y
_atom_site_fract_z
Cu1 0.000 0.000 0.500
Tc1 0.000 0.000 0.000
```

Calculated values
Spin magnetization (μB per formula unit): 0.00
VASP energy (Ry per atom): -0.279
Formation energy (eV/atom): 1.871
Crystal system: cubic